Entry from Alexandria: an optimized crystal structure of YCoOs2O (GGA+U).

Cell lengths 5.2120, 5.2120, 4.1458 Å; angles 90.00, 90.00, 90.00 degrees
Sites, in units of the cell vectors:
Y (0.0000, 0.0000, 0.0000)
Co (0.5000, 0.5000, 0.5000)
Os (0.0000, 0.5000, 0.0000)
Os (0.5000, 0.0000, 0.0000)
O (0.0000, 0.0000, 0.5000)

Computed properties:
The energy comes out at -5.947 eV per atom. The crystal system is tetragonal. The density of states at the Fermi level is 1.161 states/eV/atom. The magnetization is 7.15 μB/cell. For the volume, the calculation gives 22.52 Å³/atom.